1.
Below is crystalline KMnSe2 at its relaxed geometry, with properties calculated at the GGA-PBE level.

Lattice parameters (Å, degrees): 3.6528 3.6528 8.2851 90.00 90.00 90.00
With the nearest neighbours (Å) after each atom.
Space group P4mm (No. 99)
One atom of each set of equivalent atoms:
1 K 0.0000 0.0000 0.0000 [1 per cell]  5 Se 3.20-3.26
2 Mn 0.5000 0.5000 0.4834 [1 per cell]  1 Se 2.39
3 Se 0.0000 0.0000 0.3935 [1 per cell]  4 Mn 2.69
4 Se 0.5000 0.5000 0.7718 [1 per cell]  1 Mn 2.39

M_tot = 4.0 μB per formula unit
Raw formation energy = -0.49 eV per atom

---

2.
Below is crystalline KMn2Se at its relaxed geometry, with properties calculated at the GGA-PBE level.

Lattice parameters (Å, degrees): 3.7690 3.7690 27.0024 90.00 90.00 120.00
With the nearest neighbours (Å) after each atom.
Space group R-3m (No. 166, hexagonal axes)
One atom of each set of equivalent atoms:
1 K 0.0000 0.0000 0.0000 [3 per cell]  6 K 3.77, 6 Mn 3.79
2 Mn 0.0000 0.0000 0.2183 [6 per cell]  3 Se 2.58
3 Se 0.0000 0.0000 0.5000 [3 per cell]  6 Mn 2.58

M_tot = 8.2 μB per formula unit
Raw formation energy = 0.48 eV per atom